Entry 1
# LiTcMo

A geometry-optimized LiTcMo structure (PBE-GGA, Alexandria via LeMat-Bulk).

Unit cell a=4.632 b=4.632 c=4.632 alpha=148.05 beta=123.46 gamma=66.43
Element x y z (fractional)
Li 0.000 0.000 0.000
Tc 0.338 0.338 0.000
Mo 0.663 0.663 0.000

The theoretical density comes out at 7.7 g/cm3. As for the density of states at the Fermi level: 1.81 states/eV/f.u.

Entry 2
# LiTcMo

A geometry-optimized LiTcMo structure (PBE-GGA, Alexandria via LeMat-Bulk).

Unit cell a=7.113 b=7.113 c=7.113 alpha=159.21 beta=159.21 gamma=29.56
Element x y z (fractional)
Li 0.000 0.000 0.000
Tc 0.339 0.339 0.000
Mo 0.671 0.671 0.000

The theoretical density comes out at 7.4 g/cm3. As for the density of states at the Fermi level: 1.72 states/eV/f.u.

Verdict on stability: entry 2 comes out at the bottom.

Entry 1
# LiTcMo

A geometry-optimized LiTcMo structure (PBE-GGA, Alexandria via LeMat-Bulk).

Unit cell a=2.670 b=4.413 c=7.777 alpha=90.00 beta=91.81 gamma=90.00
Element x y z (fractional)
Li 0.134 0.250 0.071
Li 0.866 0.750 0.929
Tc 0.487 0.750 0.272
Tc 0.513 0.250 0.728
Mo 0.191 0.750 0.594
Mo 0.809 0.250 0.406

The theoretical density comes out at 7.3 g/cm3. As for the density of states at the Fermi level: 2.04 states/eV/f.u.

Entry 2
# LiTcMo

A geometry-optimized LiTcMo structure (PBE-GGA, Alexandria via LeMat-Bulk).

Unit cell a=4.393 b=4.393 c=2.581 alpha=90.00 beta=90.00 gamma=120.00
Element x y z (fractional)
Li 0.000 0.000 0.000
Tc 0.333 0.667 0.647
Mo 0.667 0.333 0.379

The theoretical density comes out at 7.7 g/cm3. As for the density of states at the Fermi level: 1.40 states/eV/f.u.

Verdict on stability: entry 1 comes out at the bottom.

Entry 1
# LiTcMo3

A geometry-optimized LiTcMo3 structure (PBE-GGA, Alexandria via LeMat-Bulk).

Unit cell a=4.730 b=4.730 c=4.730 alpha=90.00 beta=90.00 gamma=90.00
Element x y z (fractional)
Li 0.000 0.000 0.000
Tc 0.500 0.500 0.500
Mo 0.000 0.500 0.500
Mo 0.500 0.000 0.500
Mo 0.500 0.500 0.000

The theoretical density comes out at 6.2 g/cm3. As for the density of states at the Fermi level: 6.84 states/eV/f.u.

Entry 2
# LiTcMo3

A geometry-optimized LiTcMo3 structure (PBE-GGA, Alexandria via LeMat-Bulk).

Unit cell a=4.195 b=4.195 c=4.195 alpha=90.00 beta=90.00 gamma=90.00
Element x y z (fractional)
Li 0.000 0.000 0.000
Tc 0.500 0.500 0.500
Mo 0.000 0.000 0.500
Mo 0.000 0.500 0.000
Mo 0.500 0.000 0.000

The theoretical density comes out at 8.8 g/cm3. As for the density of states at the Fermi level: 7.08 states/eV/f.u.

Verdict on stability: entry 1 comes out at the bottom.

Entry 1
# Li2Tc2Mo

A geometry-optimized Li2Tc2Mo structure (PBE-GGA, Alexandria via LeMat-Bulk).

Unit cell a=7.744 b=7.744 c=7.744 alpha=156.31 beta=156.31 gamma=33.75
Element x y z (fractional)
Li 0.250 0.750 0.500
Li 0.750 0.250 0.500
Tc 0.094 0.094 0.000
Tc 0.906 0.906 0.000
Mo 0.500 0.500 0.000

The theoretical density comes out at 6.8 g/cm3. As for the density of states at the Fermi level: 4.03 states/eV/f.u.

Entry 2
# Li2Tc2Mo

A geometry-optimized Li2Tc2Mo structure (PBE-GGA, Alexandria via LeMat-Bulk).

Unit cell a=7.390 b=7.390 c=2.528 alpha=90.00 beta=90.00 gamma=90.00
Element x y z (fractional)
Li 0.180 0.320 0.000
Li 0.320 0.820 0.000
Li 0.680 0.180 0.000
Li 0.820 0.680 0.000
Tc 0.117 0.617 0.500
Tc 0.383 0.117 0.500
Tc 0.617 0.883 0.500
Tc 0.883 0.383 0.500
Mo 0.000 0.000 0.500
Mo 0.500 0.500 0.500

The theoretical density comes out at 7.4 g/cm3. As for the density of states at the Fermi level: 2.33 states/eV/f.u.

Verdict on stability: entry 1 comes out at the bottom.

Entry 1
# LiTe2Mo

A geometry-optimized LiTe2Mo structure (PBE-GGA, Alexandria via LeMat-Bulk).

Unit cell a=6.092 b=6.092 c=6.092 alpha=141.14 beta=141.14 gamma=56.13
Element x y z (fractional)
Li 0.000 0.000 0.000
Te 0.500 0.500 0.000
Te 0.750 0.250 0.500
Mo 0.250 0.750 0.500

The theoretical density comes out at 6.7 g/cm3. As for the density of states at the Fermi level: 2.85 states/eV/f.u.

Entry 2
# LiTe2Mo

A geometry-optimized LiTe2Mo structure (PBE-GGA, Alexandria via LeMat-Bulk).

Unit cell a=3.377 b=3.377 c=7.346 alpha=90.00 beta=90.00 gamma=90.00
Element x y z (fractional)
Li 0.000 0.000 0.000
Te 0.500 0.500 0.276
Te 0.500 0.500 0.724
Mo 0.000 0.000 0.500

The theoretical density comes out at 7.1 g/cm3. As for the density of states at the Fermi level: 2.02 states/eV/f.u.

Verdict on stability: entry 1 comes out at the bottom.

Entry 1
# LiTe2Mo

A geometry-optimized LiTe2Mo structure (PBE-GGA, Alexandria via LeMat-Bulk).

Unit cell a=5.073 b=5.073 c=5.073 alpha=60.00 beta=60.00 gamma=60.00
Element x y z (fractional)
Li 0.000 0.000 0.000
Te 0.500 0.500 0.500
Te 0.750 0.750 0.750
Mo 0.250 0.250 0.250

The theoretical density comes out at 6.4 g/cm3. As for the density of states at the Fermi level: 1.52 states/eV/f.u.

Entry 2
# LiTe2Mo

A geometry-optimized LiTe2Mo structure (PBE-GGA, Alexandria via LeMat-Bulk).

Unit cell a=7.460 b=7.460 c=7.460 alpha=128.30 beta=128.30 gamma=76.13
Element x y z (fractional)
Li 0.000 0.000 0.000
Li 0.750 0.250 0.500
Te 0.141 0.625 0.016
Te 0.375 0.391 0.516
Te 0.609 0.125 0.984
Te 0.875 0.859 0.484
Mo 0.250 0.750 0.500
Mo 0.500 0.500 0.000

The theoretical density comes out at 4.8 g/cm3. As for the density of states at the Fermi level: 4.97 states/eV/f.u.

Verdict on stability: entry 1 comes out at the bottom.

Entry 1
# LiTe2Mo

A geometry-optimized LiTe2Mo structure (PBE-GGA, Alexandria via LeMat-Bulk).

Unit cell a=9.264 b=9.264 c=9.264 alpha=22.20 beta=22.20 gamma=22.20
Element x y z (fractional)
Li 0.000 0.000 0.000
Te 0.099 0.099 0.099
Te 0.901 0.901 0.901
Mo 0.500 0.500 0.500

The theoretical density comes out at 6.0 g/cm3. As for the density of states at the Fermi level: 3.77 states/eV/f.u.

Entry 2
# LiTe2Mo

A geometry-optimized LiTe2Mo structure (PBE-GGA, Alexandria via LeMat-Bulk).

Unit cell a=3.381 b=3.385 c=7.372 alpha=90.00 beta=95.16 gamma=90.00
Element x y z (fractional)
Li 0.000 0.000 0.000
Te 0.455 0.500 0.277
Te 0.545 0.500 0.723
Mo 0.000 0.000 0.500

The theoretical density comes out at 7.1 g/cm3. As for the density of states at the Fermi level: 2.07 states/eV/f.u.

Entry 3
# LiTe2Mo

A geometry-optimized LiTe2Mo structure (PBE-GGA, Alexandria via LeMat-Bulk).

Unit cell a=4.805 b=4.805 c=4.805 alpha=60.00 beta=60.00 gamma=60.00
Element x y z (fractional)
Li 0.000 0.000 0.000
Te 0.250 0.250 0.250
Te 0.750 0.750 0.750
Mo 0.500 0.500 0.500

The theoretical density comes out at 7.6 g/cm3. As for the density of states at the Fermi level: 3.57 states/eV/f.u.

Entry 4
# LiTe2Mo

A geometry-optimized LiTe2Mo structure (PBE-GGA, Alexandria via LeMat-Bulk).

Unit cell a=3.560 b=3.560 c=7.513 alpha=90.00 beta=90.00 gamma=90.00
Element x y z (fractional)
Li 0.000 0.000 0.000
Te 0.000 0.000 0.373
Te 0.500 0.500 0.856
Mo 0.500 0.500 0.211

The theoretical density comes out at 6.2 g/cm3. As for the density of states at the Fermi level: 3.26 states/eV/f.u.

Verdict on stability: entry 3 comes out at the bottom.

Entry 1
# Li2TeMo2

A geometry-optimized Li2TeMo2 structure (PBE-GGA, Alexandria via LeMat-Bulk).

Unit cell a=6.801 b=6.801 c=3.985 alpha=90.00 beta=90.00 gamma=90.00
Element x y z (fractional)
Li 0.171 0.329 0.000
Li 0.329 0.829 0.000
Li 0.671 0.171 0.000
Li 0.829 0.671 0.000
Te 0.000 0.000 0.500
Te 0.500 0.500 0.500
Mo 0.118 0.618 0.500
Mo 0.382 0.118 0.500
Mo 0.618 0.882 0.500
Mo 0.882 0.382 0.500

The theoretical density comes out at 6.0 g/cm3. As for the density of states at the Fermi level: 4.60 states/eV/f.u.

Entry 2
# Li2TeMo2

A geometry-optimized Li2TeMo2 structure (PBE-GGA, Alexandria via LeMat-Bulk).

Unit cell a=7.829 b=7.829 c=7.829 alpha=154.15 beta=154.15 gamma=36.88
Element x y z (fractional)
Li 0.250 0.750 0.500
Li 0.750 0.250 0.500
Te 0.000 0.000 0.000
Mo 0.414 0.414 0.000
Mo 0.586 0.586 0.000

The theoretical density comes out at 6.1 g/cm3. As for the density of states at the Fermi level: 4.86 states/eV/f.u.

Verdict on stability: entry 2 comes out at the bottom.

Entry 1
# LiTi3Mo

A geometry-optimized LiTi3Mo structure (PBE-GGA, Alexandria via LeMat-Bulk).

Unit cell a=4.814 b=4.814 c=4.814 alpha=90.00 beta=90.00 gamma=90.00
Element x y z (fractional)
Li 0.000 0.000 0.000
Ti 0.000 0.500 0.500
Ti 0.500 0.000 0.500
Ti 0.500 0.500 0.000
Mo 0.500 0.500 0.500

The theoretical density comes out at 3.7 g/cm3. As for the density of states at the Fermi level: 4.92 states/eV/f.u.

Entry 2
# LiTi3Mo

A geometry-optimized LiTi3Mo structure (PBE-GGA, Alexandria via LeMat-Bulk).

Unit cell a=4.323 b=4.323 c=4.323 alpha=90.00 beta=90.00 gamma=90.00
Element x y z (fractional)
Li 0.000 0.000 0.000
Ti 0.000 0.000 0.500
Ti 0.000 0.500 0.000
Ti 0.500 0.000 0.000
Mo 0.500 0.500 0.500

The theoretical density comes out at 5.1 g/cm3. As for the density of states at the Fermi level: 11.76 states/eV/f.u.

Verdict on stability: entry 2 comes out at the bottom.

Entry 1
# LiTlMo3

A geometry-optimized LiTlMo3 structure (PBE-GGA, Alexandria via LeMat-Bulk).

Unit cell a=4.335 b=4.335 c=4.335 alpha=90.00 beta=90.00 gamma=90.00
Element x y z (fractional)
Li 0.000 0.000 0.000
Tl 0.500 0.500 0.500
Mo 0.000 0.000 0.500
Mo 0.000 0.500 0.000
Mo 0.500 0.000 0.000

The theoretical density comes out at 10.2 g/cm3. As for the density of states at the Fermi level: 5.36 states/eV/f.u.

Entry 2
# LiTlMo3

A geometry-optimized LiTlMo3 structure (PBE-GGA, Alexandria via LeMat-Bulk).

Unit cell a=5.045 b=5.045 c=5.045 alpha=90.00 beta=90.00 gamma=90.00
Element x y z (fractional)
Li 0.000 0.000 0.000
Tl 0.500 0.500 0.500
Mo 0.000 0.500 0.500
Mo 0.500 0.000 0.500
Mo 0.500 0.500 0.000

The theoretical density comes out at 6.5 g/cm3. As for the density of states at the Fermi level: 11.33 states/eV/f.u.

Verdict on stability: entry 2 comes out at the bottom.

Entry 1
# LiTl2Mo

A geometry-optimized LiTl2Mo structure (PBE-GGA, Alexandria via LeMat-Bulk).

Unit cell a=5.728 b=5.728 c=5.728 alpha=138.98 beta=138.98 gamma=59.41
Element x y z (fractional)
Li 0.000 0.000 0.000
Tl 0.500 0.500 0.000
Tl 0.750 0.250 0.500
Mo 0.250 0.750 0.500

The theoretical density comes out at 10.6 g/cm3. As for the density of states at the Fermi level: 1.61 states/eV/f.u.

Entry 2
# LiTl2Mo

A geometry-optimized LiTl2Mo structure (PBE-GGA, Alexandria via LeMat-Bulk).

Unit cell a=10.051 b=10.051 c=10.051 alpha=154.21 beta=154.21 gamma=36.80
Element x y z (fractional)
Li 0.000 0.000 0.000
Li 0.750 0.250 0.500
Tl 0.129 0.625 0.004
Tl 0.375 0.379 0.504
Tl 0.621 0.125 0.996
Tl 0.875 0.871 0.496
Mo 0.250 0.750 0.500
Mo 0.500 0.500 0.000

The theoretical density comes out at 8.9 g/cm3. As for the density of states at the Fermi level: 3.13 states/eV/f.u.

Verdict on stability: entry 2 comes out at the bottom.

Entry 1
# LiTl2Mo

A geometry-optimized LiTl2Mo structure (PBE-GGA, Alexandria via LeMat-Bulk).

Unit cell a=3.057 b=4.776 c=5.742 alpha=90.00 beta=90.00 gamma=90.00
Element x y z (fractional)
Li 0.000 0.000 0.000
Tl 0.000 0.000 0.447
Tl 0.500 0.500 0.853
Mo 0.500 0.500 0.342

The theoretical density comes out at 10.1 g/cm3. As for the density of states at the Fermi level: 2.08 states/eV/f.u.

Entry 2
# LiTl2Mo

A geometry-optimized LiTl2Mo structure (PBE-GGA, Alexandria via LeMat-Bulk).

Unit cell a=9.705 b=9.705 c=9.705 alpha=18.62 beta=18.62 gamma=18.62
Element x y z (fractional)
Li 0.000 0.000 0.000
Tl 0.251 0.251 0.251
Tl 0.749 0.749 0.749
Mo 0.500 0.500 0.500

The theoretical density comes out at 10.4 g/cm3. As for the density of states at the Fermi level: 1.71 states/eV/f.u.

Entry 3
# LiTl2Mo

A geometry-optimized LiTl2Mo structure (PBE-GGA, Alexandria via LeMat-Bulk).

Unit cell a=10.047 b=10.047 c=10.047 alpha=18.03 beta=18.03 gamma=18.03
Element x y z (fractional)
Li 0.000 0.000 0.000
Tl 0.512 0.512 0.512
Tl 0.749 0.749 0.749
Mo 0.258 0.258 0.258

The theoretical density comes out at 10.0 g/cm3. As for the density of states at the Fermi level: 1.69 states/eV/f.u.

Verdict on stability: entry 3 comes out at the bottom.

Entry 1
# LiTl2Mo

A geometry-optimized LiTl2Mo structure (PBE-GGA, Alexandria via LeMat-Bulk).

Unit cell a=5.038 b=5.038 c=5.038 alpha=60.00 beta=60.00 gamma=60.00
Element x y z (fractional)
Li 0.000 0.000 0.000
Tl 0.250 0.250 0.250
Tl 0.500 0.500 0.500
Mo 0.750 0.750 0.750

The theoretical density comes out at 9.4 g/cm3. As for the density of states at the Fermi level: 2.19 states/eV/f.u.

Entry 2
# LiTl2Mo

A geometry-optimized LiTl2Mo structure (PBE-GGA, Alexandria via LeMat-Bulk).

Unit cell a=4.851 b=4.851 c=3.299 alpha=90.00 beta=90.00 gamma=90.00
Element x y z (fractional)
Li 0.000 0.000 0.000
Tl 0.000 0.500 0.500
Tl 0.500 0.000 0.500
Mo 0.500 0.500 0.000

The theoretical density comes out at 10.9 g/cm3. As for the density of states at the Fermi level: 2.84 states/eV/f.u.

Verdict on stability: entry 1 comes out at the bottom.